[1]
# La2Ce3Ge4 PBE optimized geometry
# energy = -5.754 eV/atom
# DOS at the Fermi energy = 55.29 states/eV/cell
# total magnetic moment = 8.134 Bohr magnetons per cell
# distance to the lowest polymorph of the same formula = 138 meV per atom
# ΔE_f = -0.6292 eV/atom
data_La2Ce3Ge4
_cell_length_a 7.2459
_cell_length_b 16.3869
_cell_length_c 8.3443
_cell_angle_alpha 90.00
_cell_angle_beta 90.00
_cell_angle_gamma 90.00
_space_group_name_H-M_alt 'C m c e'
_space_group_IT_number 64
_space_group_name_Hall '-C 2ac 2'
loop_
_atom_site_label
_atom_site_type_symbol
_atom_site_fract_x
_atom_site_fract_y
_atom_site_fract_z
_atom_site_occupancy
La1 La 0.0000 0.1064 0.0764 1
Ce1 Ce 0.0000 0.0000 0.5000 1
Ce2 Ce 0.2500 0.2067 0.7500 1
Ge1 Ge 0.0000 0.1880 0.4494 1
Ge2 Ge 0.2500 0.0292 0.7500 1

[2]
# Cs2TaI5Br PBE optimized geometry
# uncorrected formation energy = -1.003 eV/atom
# energy = -3.557 eV/atom
# DOS at the Fermi energy = 11.66 states/eV/cell
# total magnetic moment = 2.004 Bohr magnetons per cell
data_Cs2TaI5Br
_cell_length_a 8.4040
_cell_length_b 8.4040
_cell_length_c 11.4925
_cell_angle_alpha 90.00
_cell_angle_beta 90.00
_cell_angle_gamma 90.00
_space_group_name_H-M_alt 'I 4 m m'
_space_group_IT_number 107
_space_group_name_Hall 'I 4 -2'
loop_
_atom_site_label
_atom_site_type_symbol
_atom_site_fract_x
_atom_site_fract_y
_atom_site_fract_z
_atom_site_occupancy
Cs1 Cs 0.0000 0.5000 0.0000 1
Ta1 Ta 0.0000 0.0000 0.2523 1
I1 I 0.0000 0.0000 0.0085 1
I2 I 0.2375 0.2375 0.2504 1
Br1 Br 0.0000 0.0000 0.4750 1

[3]
# BeAlW2 PBE optimized geometry
# energy = -8.076 eV/atom
# DOS at the Fermi energy = 10.31 states/eV/cell
# total magnetic moment = 0.000 Bohr magnetons per cell
# ΔE_f = 0.2675 eV/atom
data_BeAlW2
_cell_length_a 2.7992
_cell_length_b 2.7992
_cell_length_c 25.7178
_cell_angle_alpha 90.00
_cell_angle_beta 90.00
_cell_angle_gamma 120.00
_space_group_name_H-M_alt 'R -3 m'
_space_group_IT_number 166
_space_group_name_Hall '-R 3 2"'
loop_
_atom_site_label
_atom_site_type_symbol
_atom_site_fract_x
_atom_site_fract_y
_atom_site_fract_z
_atom_site_occupancy
Be1 Be 0.0000 0.0000 0.0000 1
Al1 Al 0.0000 0.0000 0.5000 1
W1 W 0.0000 0.0000 0.2545 1

[4]
# AcAlAg2 PBE optimized geometry
# energy = -3.390 eV/atom
# DOS at the Fermi energy = 6.02 states/eV/cell
# total magnetic moment = 0.000 Bohr magnetons per cell
# ΔE_f = -0.0020 eV/atom
data_AcAlAg2
_cell_length_a 6.1984
_cell_length_b 7.5420
_cell_length_c 4.5140
_cell_angle_alpha 90.00
_cell_angle_beta 90.00
_cell_angle_gamma 90.00
_space_group_name_H-M_alt 'C m m m'
_space_group_IT_number 65
_space_group_name_Hall '-C 2 2'
loop_
_atom_site_label
_atom_site_type_symbol
_atom_site_fract_x
_atom_site_fract_y
_atom_site_fract_z
_atom_site_occupancy
Ac1 Ac 0.0000 0.0000 0.0000 1
Al1 Al 0.0000 0.5000 0.0000 1
Ag1 Ag 0.0000 0.3142 0.5000 1

[5]
# SrLaGa2 PBE optimized geometry
# energy = -3.626 eV/atom
# DOS at the Fermi energy = 4.27 states/eV/cell
# total magnetic moment = 0.001 Bohr magnetons per cell
# ΔE_f = -0.4600 eV/atom
data_SrLaGa2
_cell_length_a 6.0018
_cell_length_b 6.2177
_cell_length_c 6.5101
_cell_angle_alpha 104.89
_cell_angle_beta 104.99
_cell_angle_gamma 94.77
_space_group_name_H-M_alt 'P -1'
_space_group_IT_number 2
loop_
_space_group_symop_operation_xyz
'x,y,z'
'-x,-y,-z'
loop_
_atom_site_label
_atom_site_type_symbol
_atom_site_fract_x
_atom_site_fract_y
_atom_site_fract_z
_atom_site_occupancy
Sr1 Sr 0.2004 0.3187 0.3604 1
La1 La 0.3428 0.7567 0.0331 1
Ga1 Ga 0.1116 0.2102 0.8045 1
Ga2 Ga 0.2997 0.8878 0.5470 1

[6]
# K2InBi2 PBE optimized geometry
# energy = -2.810 eV/atom
# DOS at the Fermi energy = 5.91 states/eV/cell
# total magnetic moment = 0.000 Bohr magnetons per cell
# distance to the lowest polymorph of the same formula = 40 meV per atom
# ΔE_f = -0.2707 eV/atom
data_K2InBi2
_cell_length_a 8.2069
_cell_length_b 8.2069
_cell_length_c 5.7569
_cell_angle_alpha 90.00
_cell_angle_beta 90.00
_cell_angle_gamma 90.00
_space_group_name_H-M_alt 'P 4/m b m'
_space_group_IT_number 127
_space_group_name_Hall '-P 4 2ab'
loop_
_atom_site_label
_atom_site_type_symbol
_atom_site_fract_x
_atom_site_fract_y
_atom_site_fract_z
_atom_site_occupancy
K1 K 0.1674 0.3326 0.0000 1
In1 In 0.0000 0.0000 0.5000 1
Bi1 Bi 0.1361 0.6361 0.5000 1

[7]
# RbAlI PBE optimized geometry
# uncorrected formation energy = -0.544 eV/atom
# energy = -2.630 eV/atom
# DOS at the Fermi energy = 0.77 states/eV/cell
# total magnetic moment = 0.000 Bohr magnetons per cell
data_RbAlI
_cell_length_a 4.8023
_cell_length_b 5.7065
_cell_length_c 9.7300
_cell_angle_alpha 74.12
_cell_angle_beta 89.48
_cell_angle_gamma 89.99
_space_group_name_H-M_alt 'P -1'
_space_group_IT_number 2
loop_
_space_group_symop_operation_xyz
'x,y,z'
'-x,-y,-z'
loop_
_atom_site_label
_atom_site_type_symbol
_atom_site_fract_x
_atom_site_fract_y
_atom_site_fract_z
_atom_site_occupancy
Rb1 Rb 0.2435 0.3607 0.2503 1
Al1 Al 0.2507 0.9618 0.9640 1
I1 I 0.2575 0.1828 0.6669 1

[8]
# MgPaGa2Pt2 PBE optimized geometry
# energy = -5.646 eV/atom
# DOS at the Fermi energy = 5.49 states/eV/cell
# total magnetic moment = 0.000 Bohr magnetons per cell
# ΔE_f = -0.7752 eV/atom
data_MgPaGa2Pt2
_cell_length_a 4.4072
_cell_length_b 4.4072
_cell_length_c 6.6013
_cell_angle_alpha 90.00
_cell_angle_beta 90.00
_cell_angle_gamma 120.00
_space_group_name_H-M_alt 'P -3 m 1'
_space_group_IT_number 164
_space_group_name_Hall '-P 3 2"'
loop_
_atom_site_label
_atom_site_type_symbol
_atom_site_fract_x
_atom_site_fract_y
_atom_site_fract_z
_atom_site_occupancy
Mg1 Mg 0.0000 0.0000 0.0000 1
Pa1 Pa 0.0000 0.0000 0.5000 1
Ga1 Ga 0.3333 0.6667 0.2065 1
Pt1 Pt 0.3333 0.6667 0.7595 1